Material: LaAsPt2O
Method: DFT, GGA-PBEsol
State: optimized geometry

## Properties
M_tot	0.0	μB/cell
mass density	11.72	g/cm³
V	17.6	Å³/atom
E_form (uncorrected)	-341	meV per atom

Lattice parameters (Å, degrees): 4.3701 4.3701 4.5983 90.00 90.00 90.00
Last column: nearest neighbours and their distance in Å.
Positions (direct):
As: 0.0000 0.0000 0.5000  2 O 2.30
O: 0.0000 0.0000 0.0000  4 Pt 2.19, 2 As 2.30
Pt: 0.5000 0.0000 0.0000  2 O 2.19
Pt: 0.0000 0.5000 0.0000  2 O 2.19
La: 0.5000 0.5000 0.5000  4 As 3.09, 8 Pt 3.17


Material: La4As2S5O4
Method: DFT, GGA-PBEsol
State: optimized geometry

## Properties
M_tot	0.0	μB/cell
mass density	5.22	g/cm³
V	19.7	Å³/atom
E_form (uncorrected)	-2176	meV per atom

Lattice parameters (Å, degrees): 4.0764 8.3765 9.1375 103.32 102.55 90.07
Last column: nearest neighbours and their distance in Å.
Positions (direct):
S: 0.5543 0.8332 0.1984  1 As 2.27
S: 0.3420 0.7247 0.7766  1 As 2.26
S: 0.5662 0.3255 0.2202  1 As 2.23
S: 0.9279 0.0574 0.9727  2 As 2.34-2.43
S: 0.9185 0.4649 0.9701  1 As 2.29
O: 0.7078 0.6464 0.4801  4 La 2.33-2.41
O: 0.7205 0.1566 0.5147  4 La 2.37-2.48
O: 0.2110 0.8992 0.4860  4 La 2.32-2.49
O: 0.2121 0.4000 0.4943  4 La 2.32-2.47
La: 0.1378 0.1185 0.3558  4 O 2.39-2.48
La: 0.7722 0.4447 0.6237  4 O 2.32-2.38
La: 0.7714 0.9204 0.6171  4 O 2.32-2.37
La: 0.1314 0.6078 0.3380  4 O 2.36-2.49
As: 0.5376 0.2621 0.9666  3 S 2.23-2.34
As: 0.7752 0.7816 0.9859  3 S 2.26-2.43


Material: LaAsW2O
Method: DFT, GGA-PBEsol
State: optimized geometry

## Properties
M_tot	1.9	μB/cell
mass density	8.27	g/cm³
V	24.0	Å³/atom
E_form (uncorrected)	1271	meV per atom

Lattice parameters (Å, degrees): 4.5077 4.5077 5.9062 90.00 90.00 90.00
Last column: nearest neighbours and their distance in Å.
Positions (direct):
W: 0.5000 0.0000 0.0000  2 As 2.25
W: 0.0000 0.5000 0.0000  2 As 2.25
As: 0.0000 0.0000 0.0000  4 W 2.25
La: 0.0000 0.0000 0.5000  2 As 2.95, 4 O 3.19
O: 0.5000 0.5000 0.5000  4 La 3.19


Material: LaZnAsO
Method: DFT, GGA-PBEsol
State: optimized geometry

## Properties
M_tot	0.0	μB/cell
mass density	6.67	g/cm³
V	18.4	Å³/atom
E_form (uncorrected)	-1896	meV per atom

Lattice parameters (Å, degrees): 4.0544 4.0544 8.9435 90.00 90.00 90.00
Last column: nearest neighbours and their distance in Å.
Positions (direct):
La: 0.5000 0.0000 0.1354  4 O 2.36
La: 0.0000 0.5000 0.8646  4 O 2.36
Zn: 0.5000 0.5000 0.5000  4 As 2.55
Zn: 0.0000 0.0000 0.5000  4 As 2.55
O: 0.5000 0.5000 0.0000  4 La 2.36
O: 0.0000 0.0000 0.0000  4 La 2.36
As: 0.0000 0.5000 0.3267  4 Zn 2.55
As: 0.5000 0.0000 0.6733  4 Zn 2.55


Material: LaAs12Os4
Method: DFT, GGA-PBEsol
State: optimized geometry

## Properties
E_form	-0.400	eV per atom
M_tot	0.0	μB/cell
mass density	9.60	g/cm³
V	18.3	Å³/atom

Lattice parameters (Å, degrees): 7.3926 7.3926 7.3926 109.47 109.47 109.47
Last column: nearest neighbours and their distance in Å.
Positions (direct):
As: 0.8013 0.1502 0.6512  2 Os 2.45, 2 As 2.56-2.58
As: 0.1502 0.6512 0.8013  2 Os 2.45, 2 As 2.56-2.58
As: 0.8498 0.3488 0.1987  2 Os 2.45, 2 As 2.56-2.58
As: 0.5010 0.8498 0.6512  2 Os 2.45, 2 As 2.56-2.58
As: 0.3488 0.1987 0.8498  2 Os 2.45, 2 As 2.56-2.58
As: 0.8498 0.6512 0.5010  2 Os 2.45, 2 As 2.56-2.58
As: 0.6512 0.8013 0.1502  2 Os 2.45, 2 As 2.56-2.58
As: 0.1502 0.3488 0.4990  2 Os 2.45, 2 As 2.56-2.58
As: 0.6512 0.5010 0.8498  2 Os 2.45, 2 As 2.56-2.58
As: 0.4990 0.1502 0.3488  2 Os 2.45, 2 As 2.56-2.58
As: 0.1987 0.8498 0.3488  2 Os 2.45, 2 As 2.56-2.58
As: 0.3488 0.4990 0.1502  2 Os 2.45, 2 As 2.56-2.58
Os: 0.0000 0.5000 0.0000  6 As 2.45
Os: 0.5000 0.0000 0.0000  6 As 2.45
Os: 0.0000 0.0000 0.5000  6 As 2.45
Os: 0.5000 0.5000 0.5000  6 As 2.45
La: 0.0000 0.0000 0.0000  12 As 3.24


Material: La2AsOs
Method: DFT, GGA-PBEsol
State: optimized geometry

## Properties
E_form	-0.479	eV per atom
M_tot	0.0	μB/cell
mass density	9.50	g/cm³
V	23.7	Å³/atom

Lattice parameters (Å, degrees): 3.7067 4.4732 6.4162 110.40 106.79 90.00
Last column: nearest neighbours and their distance in Å.
Positions (direct):
La: 0.0003 0.5003 0.0005  4 Os 2.94, 2 As 3.10
La: 0.7746 0.7746 0.5493  4 As 3.07, 2 La 3.42
Os: 0.5375 0.0375 0.0750  2 As 2.53
As: 0.1876 0.1876 0.3751  2 Os 2.53


Material: La2AsOs
Method: DFT, GGA-PBEsol
State: optimized geometry

## Properties
E_form	-0.427	eV per atom
M_tot	0.0	μB/cell
mass density	9.89	g/cm³
V	22.8	Å³/atom

Lattice parameters (Å, degrees): 3.6693 5.0190 5.0190 99.34 90.00 90.00
Last column: nearest neighbours and their distance in Å.
Positions (direct):
Os: 0.5000 0.0000 0.0000  8 La 3.11, 2 As 3.25
La: 0.0000 0.5000 0.0000  4 As 3.11, 4 Os 3.11, 2 La 3.25
La: 0.0000 0.0000 0.5000  4 Os 3.11, 4 As 3.11, 2 La 3.25
As: 0.5000 0.5000 0.5000  8 La 3.11, 2 Os 3.25


Material: LaAsOsPt2
Method: DFT, GGA-PBEsol
State: optimized geometry

## Properties
E_form	0.689	eV per atom
M_tot	0.0	μB/cell
mass density	10.71	g/cm³
V	24.6	Å³/atom

Lattice parameters (Å, degrees): 4.7532 4.7532 5.4521 90.00 90.00 90.00
Last column: nearest neighbours and their distance in Å.
Positions (direct):
Pt: 0.0000 0.5000 0.0000  2 Os 2.38
Pt: 0.5000 0.0000 0.0000  2 Os 2.38
Os: 0.0000 0.0000 0.0000  4 Pt 2.38
As: 0.5000 0.5000 0.5000  4 La 3.36, 8 Pt 3.62
La: 0.0000 0.0000 0.5000  2 Os 2.73


Material: LaReAs2Os
Method: DFT, GGA-PBEsol
State: optimized geometry

## Properties
E_form	0.364	eV per atom
M_tot	0.0	μB/cell
mass density	10.10	g/cm³
V	21.9	Å³/atom

Lattice parameters (Å, degrees): 4.7470 4.7470 4.8516 90.00 90.00 90.00
Last column: nearest neighbours and their distance in Å.
Positions (direct):
Os: 0.0000 0.0000 0.5000  2 Re 2.43
As: 0.5000 0.0000 0.0000  2 Re 2.37
As: 0.0000 0.5000 0.0000  2 Re 2.37
Re: 0.0000 0.0000 0.0000  4 As 2.37, 2 Os 2.43
La: 0.5000 0.5000 0.5000  4 Os 3.36, 8 As 3.39


Material: La2AsOsS
Method: DFT, GGA-PBEsol
State: optimized geometry

## Properties
M_tot	0.3	μB/cell
mass density	7.48	g/cm³
V	25.5	Å³/atom
E_form (uncorrected)	116	meV per atom

Lattice parameters (Å, degrees): 4.4871 5.3349 5.3349 90.00 90.00 90.00
Last column: nearest neighbours and their distance in Å.
Positions (direct):
As: 0.5000 0.0000 0.0000  2 S 2.24
Os: 0.5000 0.5000 0.5000  8 La 3.49, 4 As 3.77
La: 0.0000 0.5000 0.0000  2 S 2.67
La: 0.0000 0.0000 0.5000  2 S 2.67
S: 0.0000 0.0000 0.0000  2 As 2.24


Material: LaAsP2
Method: DFT, GGA-PBEsol
State: optimized geometry

## Properties
E_form	-0.492	eV per atom
M_tot	0.0	μB/cell
mass density	5.75	g/cm³
V	19.9	Å³/atom

Lattice parameters (Å, degrees): 4.0386 4.0386 5.6560 110.92 110.92 90.00
Last column: nearest neighbours and their distance in Å.
Positions (direct):
P: 0.7500 0.2500 0.5000  4 La 2.86, 4 As 3.17, 4 P 3.17
P: 0.0000 0.0000 0.0000  4 As 2.86, 4 La 3.17, 4 P 3.17
La: 0.2500 0.7500 0.5000  8 P 2.86-3.17, 4 As 3.17
As: 0.5000 0.5000 0.0000  8 P 2.86-3.17, 4 La 3.17


Material: LaAsP2
Method: DFT, GGA-PBEsol
State: optimized geometry

## Properties
E_form	-0.535	eV per atom
M_tot	0.0	μB/cell
mass density	5.77	g/cm³
V	19.8	Å³/atom

Lattice parameters (Å, degrees): 3.6923 5.0515 5.2826 118.56 110.46 90.00
Last column: nearest neighbours and their distance in Å.
Positions (direct):
La: 0.0000 0.5000 0.0000  8 P 3.08-3.10, 4 As 3.13
P: 0.7889 0.7889 0.5778  2 As 2.58
P: 0.2111 0.2111 0.4222  2 As 2.58
As: 0.5000 0.0000 0.0000  4 P 2.58


Material: LaAsP
Method: DFT, GGA-PBEsol
State: optimized geometry

## Properties
E_form	-0.654	eV per atom
M_tot	0.0	μB/cell
mass density	6.40	g/cm³
V	21.2	Å³/atom

Lattice parameters (Å, degrees): 3.5853 3.5853 5.5570 108.82 108.82 90.00
Last column: nearest neighbours and their distance in Å.
Positions (direct):
As: 0.9614 0.9614 0.9228  4 P 2.69, 1 La 2.90
P: 0.3708 0.3708 0.7416  4 As 2.69, 1 La 2.94
La: 0.6678 0.6678 0.3356  1 As 2.90, 5 P 2.94-3.23


Material: LaAs3P
Method: DFT, GGA-PBEsol
State: optimized geometry

## Properties
E_form	1.289	eV per atom
M_tot	1.3	μB/cell
mass density	3.89	g/cm³
V	33.7	Å³/atom

Lattice parameters (Å, degrees): 5.5212 5.5212 5.5212 90.00 90.00 90.00
Last column: nearest neighbours and their distance in Å.
Positions (direct):
As: 0.0000 0.5000 0.0000  2 La 2.76
As: 0.5000 0.0000 0.0000  2 La 2.76
As: 0.0000 0.0000 0.5000  2 La 2.76
La: 0.0000 0.0000 0.0000  6 As 2.76
P: 0.5000 0.5000 0.5000  12 As 3.90


Material: LaAsP2
Method: DFT, GGA-PBEsol
State: optimized geometry

## Properties
E_form	-0.672	eV per atom
M_tot	0.0	μB/cell
mass density	5.17	g/cm³
V	22.2	Å³/atom

Lattice parameters (Å, degrees): 3.9235 4.2681 5.4300 102.99 90.00 90.00
Last column: nearest neighbours and their distance in Å.
Positions (direct):
La: 0.5000 0.5000 0.0000  8 P 2.96-3.24, 2 As 3.05
As: 0.5000 0.0000 0.5000  4 P 2.64
P: 0.0000 0.8944 0.7951  1 P 2.21
P: 0.0000 0.1056 0.2049  1 P 2.21


Material: LaAsP2
Method: DFT, GGA-PBEsol
State: optimized geometry

## Properties
E_form	-0.615	eV per atom
M_tot	0.0	μB/cell
mass density	5.08	g/cm³
V	22.6	Å³/atom

Lattice parameters (Å, degrees): 3.8397 4.2837 5.9351 112.44 90.00 90.00
Last column: nearest neighbours and their distance in Å.
Positions (direct):
La: 0.5000 0.5038 0.7927  6 P 2.92-3.00, 2 As 3.17
P: 0.0000 0.0572 0.9180  1 As 2.41
P: 0.5000 0.5358 0.3069  2 As 2.45
As: 0.0000 0.9033 0.4824  3 P 2.41-2.45


Material: La2AsPb
Method: DFT, GGA-PBEsol
State: optimized geometry

## Properties
E_form	-0.785	eV per atom
M_tot	0.0	μB/cell
energy above the most stable polymorph in this dataset	90	kJ/mol of formula units
mass density	8.33	g/cm³
V	27.9	Å³/atom

Lattice parameters (Å, degrees): 4.5040 4.5040 6.3585 110.74 110.74 90.00
Last column: nearest neighbours and their distance in Å.
Positions (direct):
Pb: 0.5000 0.5000 0.0000  8 La 3.18-3.56, 4 As 3.56
La: 0.7500 0.2500 0.5000  4 As 3.18, 4 La 3.56, 4 Pb 3.56
La: 0.0000 0.0000 0.0000  4 Pb 3.18, 4 As 3.56, 4 La 3.56
As: 0.2500 0.7500 0.5000  8 La 3.18-3.56, 4 Pb 3.56


Material: La2AsPb
Method: DFT, GGA-PBEsol
State: optimized geometry

## Properties
E_form	-0.732	eV per atom
M_tot	0.0	μB/cell
energy above the most stable polymorph in this dataset	110	kJ/mol of formula units
mass density	8.28	g/cm³
V	28.1	Å³/atom

Lattice parameters (Å, degrees): 5.4151 5.4151 5.4151 60.00 60.00 60.00
Last column: nearest neighbours and their distance in Å.
Positions (direct):
La: 0.2500 0.2500 0.2500  4 As 3.32, 4 Pb 3.32
La: 0.7500 0.7500 0.7500  4 As 3.32, 4 Pb 3.32
Pb: 0.5000 0.5000 0.5000  8 La 3.32
As: 0.0000 0.0000 0.0000  8 La 3.32


Material: La2AsPb
Method: DFT, GGA-PBEsol
State: optimized geometry

## Properties
E_form	-1.016	eV per atom
M_tot	0.0	μB/cell
energy above the most stable polymorph in this dataset	0	kJ/mol of formula units
mass density	7.43	g/cm³
V	31.3	Å³/atom

Lattice parameters (Å, degrees): 4.2419 4.2419 8.3927 75.36 75.36 60.00
Last column: nearest neighbours and their distance in Å.
Positions (direct):
Pb: 0.5000 0.5000 0.5000  6 La 3.34
La: 0.2607 0.2607 0.2179  3 As 3.01, 3 Pb 3.34
La: 0.7393 0.7393 0.7821  3 As 3.01, 3 Pb 3.34
As: 0.0000 0.0000 0.0000  6 La 3.01


Material: LaAsPt2
Method: DFT, GGA-PBEsol
State: optimized geometry

## Properties
E_form	-0.508	eV per atom
M_tot	0.0	μB/cell
mass density	12.58	g/cm³
V	19.9	Å³/atom

Lattice parameters (Å, degrees): 3.6889 3.6889 5.8581 90.00 90.00 90.00
Last column: nearest neighbours and their distance in Å.
Positions (direct):
Pt: 0.0000 0.0000 0.7732  1 Pt 2.66, 4 As 2.93
Pt: 0.0000 0.0000 0.2268  1 Pt 2.66, 4 As 2.93
La: 0.5000 0.5000 0.5000  2 As 2.93, 8 Pt 3.06
As: 0.5000 0.5000 0.0000  8 Pt 2.93, 2 La 2.93